No. 1
A relaxed CuPd2S crystal. Source: Alexandria, functional PBE.

a = 3.051 Å, b = 3.051 Å, c = 6.180 Å
α = 90.00°, β = 90.00°, γ = 90.00°
Space group P4/mmm (No. 123)
Asymmetric unit:
Cu: 0.000 0.000 0.000 x1
Pd: 0.500 0.500 0.253 x2
S: 0.000 0.000 0.500 x1

Theoretical density ... 8.9 g/cm³
Density of states at the Fermi level ... 0.7428 states/eV/atom
Total DFT energy (no corrections) ... -4.6531 eV/atom
M_tot ... 0.0 Bohr magnetons per cell


No. 2
A relaxed Cu2Pd4S crystal. Source: Alexandria, functional PBE.

a = 4.491 Å, b = 4.491 Å, c = 12.263 Å
α = 90.00°, β = 90.00°, γ = 90.00°
Space group I4/mmm (No. 139)
Asymmetric unit:
Cu: 0.000 0.000 0.112 x4
Pd: 0.000 0.000 0.316 x4
Pd: 0.000 0.500 0.000 x4
S: 0.000 0.000 0.500 x2

Theoretical density ... 7.9 g/cm³
Density of states at the Fermi level ... 0.4020 states/eV/atom
Total DFT energy (no corrections) ... -4.4859 eV/atom
M_tot ... 0.0 Bohr magnetons per cell


No. 3
A relaxed CuPd3S crystal. Source: Alexandria, functional PBE.

a = 4.587 Å, b = 4.587 Å, c = 4.587 Å
α = 90.00°, β = 90.00°, γ = 90.00°
Space group Pm-3m (No. 221)
Asymmetric unit:
Cu: 0.000 0.000 0.000 x1
Pd: 0.000 0.000 0.500 x3
S: 0.500 0.500 0.500 x1

Theoretical density ... 7.1 g/cm³
Polymorph energy (0 for the lowest one) ... 1037 meV/atom
Density of states at the Fermi level ... 1.1508 states/eV/atom
M_tot ... 0.0 Bohr magnetons per cell


No. 4
A relaxed CuPd2S crystal. Source: Alexandria, functional PBE.

a = 3.086 Å, b = 7.254 Å, c = 5.421 Å
α = 90.00°, β = 106.22°, γ = 90.00°
Space group P2_1/m (No. 11)
Asymmetric unit:
Cu: 0.044 0.250 0.085 x2
Pd: 0.376 0.056 0.743 x4
S: 0.280 0.750 0.557 x2

Theoretical density ... 8.8 g/cm³
Density of states at the Fermi level ... 0.5627 states/eV/atom
Total DFT energy (no corrections) ... -4.7076 eV/atom
M_tot ... 0.0 Bohr magnetons per cell


No. 5
A relaxed Cu2SiPdS4 crystal. Source: Alexandria, functional PBE.

a = 7.668 Å, b = 7.679 Å, c = 9.982 Å
α = 90.00°, β = 90.00°, γ = 90.00°
Space group Fmm2 (No. 42)
Asymmetric unit:
Cu: 0.250 0.250 0.000 x8
Si: 0.000 0.000 0.250 x4
Pd: 0.000 0.000 0.751 x4
S: 0.000 0.230 0.373 x8
S: 0.230 0.000 0.127 x8

Theoretical density ... 4.4 g/cm³
Density of states at the Fermi level ... 0.4647 states/eV/atom
Total DFT energy (no corrections) ... -4.7816 eV/atom
M_tot ... 0.0 Bohr magnetons per cell


No. 6
A relaxed CuSnPdS4 crystal. Source: Alexandria, functional PBE.

a = 7.341 Å, b = 7.366 Å, c = 10.154 Å
α = 90.00°, β = 90.00°, γ = 90.00°
Space group Imma (No. 74)
Asymmetric unit:
Cu: 0.000 0.250 0.135 x4
Sn: 0.000 0.000 0.500 x4
Pd: 0.250 0.250 0.750 x4
S: 0.000 0.020 0.751 x8
S: 0.249 0.250 0.509 x8

Theoretical density ... 5.0 g/cm³
Density of states at the Fermi level ... 0.4143 states/eV/atom
Total DFT energy (no corrections) ... -4.5757 eV/atom
M_tot ... 0.0 Bohr magnetons per cell


No. 7
A relaxed Ta2Cu2PdS6 crystal. Source: Alexandria, functional PBE.

a = 5.793 Å, b = 11.040 Å, c = 6.336 Å
α = 90.00°, β = 105.46°, γ = 90.00°
Space group C2/m (No. 12)
Asymmetric unit:
Ta: 0.000 0.134 0.000 x4
Cu: 0.000 0.324 0.500 x4
Pd: 0.000 0.500 0.000 x2
S: 0.238 0.500 0.736 x4
S: 0.244 0.310 0.237 x8

Theoretical density ... 6.7 g/cm³
Density of states at the Fermi level ... 0.6660 states/eV/atom
Total DFT energy (no corrections) ... -6.1092 eV/atom
M_tot ... 0.0 Bohr magnetons per cell


No. 8
A relaxed TiCu2PdS4 crystal. Source: Alexandria, functional PBE.

a = 5.405 Å, b = 5.405 Å, c = 10.585 Å
α = 90.00°, β = 90.00°, γ = 90.00°
Space group I-42m (No. 121)
Asymmetric unit:
Ti: 0.000 0.000 0.000 x2
Cu: 0.000 0.500 0.250 x4
Pd: 0.000 0.000 0.500 x2
S: 0.242 0.242 0.129 x8

Theoretical density ... 4.4 g/cm³
Density of states at the Fermi level ... 0.9429 states/eV/atom
Total DFT energy (no corrections) ... -5.2577 eV/atom
M_tot ... 0.0 Bohr magnetons per cell


No. 9
A relaxed Tl2CuPdS2 crystal. Source: Alexandria, functional PBE.

a = 5.689 Å, b = 16.222 Å, c = 5.859 Å
α = 90.00°, β = 90.00°, γ = 90.00°
Space group Ibam (No. 72)
Asymmetric unit:
Tl: 0.225 0.163 0.000 x8
Cu: 0.000 0.500 0.250 x4
Pd: 0.000 0.000 0.250 x4
S: 0.219 0.414 0.000 x8

Theoretical density ... 7.9 g/cm³
Density of states at the Fermi level ... 0.9443 states/eV/atom
Total DFT energy (no corrections) ... -3.9131 eV/atom
M_tot ... 0.0 Bohr magnetons per cell


No. 10
A relaxed Tl2CuPdS4 crystal. Source: Alexandria, functional PBE.

a = 5.666 Å, b = 13.858 Å, c = 18.900 Å
α = 90.00°, β = 90.00°, γ = 90.00°
Space group Fddd (No. 70, origin choice 2)
Asymmetric unit:
Tl: 0.125 0.125 0.316 x16
Cu: 0.125 0.125 0.625 x8
Pd: 0.125 0.125 0.125 x8
S: 0.115 0.279 0.805 x32

Theoretical density ... 6.3 g/cm³
Density of states at the Fermi level ... 0.8647 states/eV/atom
Total DFT energy (no corrections) ... -3.8951 eV/atom
M_tot ... 0.0 Bohr magnetons per cell


No. 11
A relaxed VCu2PdS4 crystal. Source: Alexandria, functional PBE.

a = 7.567 Å, b = 7.590 Å, c = 10.403 Å
α = 90.00°, β = 90.00°, γ = 90.00°
Space group Fmm2 (No. 42)
Asymmetric unit:
V: 0.000 0.000 0.000 x4
Cu: 0.250 0.250 0.250 x8
Pd: 0.000 0.000 0.501 x4
S: 0.000 0.233 0.126 x8
S: 0.234 0.000 0.874 x8

Theoretical density ... 4.6 g/cm³
Density of states at the Fermi level ... 0.7930 states/eV/atom
Total DFT energy (no corrections) ... -5.3103 eV/atom
M_tot ... 0.0 Bohr magnetons per cell


No. 12
A relaxed CuSb3Pd12 crystal. Source: Alexandria, functional PBE.

a = 4.035 Å, b = 4.035 Å, c = 15.954 Å
α = 90.00°, β = 90.00°, γ = 90.00°
Space group P4/mmm (No. 123)
Asymmetric unit:
Cu: 0.000 0.000 0.000 x1
Sb: 0.000 0.000 0.234 x2
Sb: 0.000 0.000 0.500 x1
Pd: 0.000 0.500 0.118 x4
Pd: 0.000 0.500 0.374 x4
Pd: 0.500 0.500 0.000 x1
Pd: 0.500 0.500 0.250 x2
Pd: 0.500 0.500 0.500 x1

Theoretical density ... 10.9 g/cm³
Density of states at the Fermi level ... 0.5943 states/eV/atom
Total DFT energy (no corrections) ... -5.2407 eV/atom
M_tot ... 0.0 Bohr magnetons per cell


No. 13
A relaxed CuSb2Pd7 crystal. Source: Alexandria, functional PBE.

a = 7.646 Å, b = 16.265 Å, c = 3.004 Å
α = 90.00°, β = 90.00°, γ = 90.00°
Space group Cmmm (No. 65)
Asymmetric unit:
Cu: 0.000 0.000 0.000 x2
Sb: 0.000 0.333 0.500 x4
Pd: 0.000 0.200 0.000 x4
Pd: 0.000 0.500 0.500 x2
Pd: 0.198 0.091 0.500 x8

Theoretical density ... 9.4 g/cm³
Polymorph energy (0 for the lowest one) ... 239 meV/atom
Density of states at the Fermi level ... 0.8234 states/eV/atom
M_tot ... 0.0 Bohr magnetons per cell


No. 14
A relaxed CuSbPd5 crystal. Source: Alexandria, functional PBE.

a = 8.878 Å, b = 9.002 Å, c = 6.773 Å
α = 90.00°, β = 118.88°, γ = 90.00°
Space group C2/c (No. 15)
Asymmetric unit:
Cu: 0.250 0.250 0.000 x4
Sb: 0.000 0.199 0.250 x4
Pd: 0.000 0.081 0.750 x4
Pd: 0.048 0.360 0.589 x8
Pd: 0.240 0.414 0.362 x8

Theoretical density ... 10.1 g/cm³
Polymorph energy (0 for the lowest one) ... 85 meV/atom
Density of states at the Fermi level ... 0.5164 states/eV/atom
M_tot ... 0.0 Bohr magnetons per cell


No. 15
A relaxed Cu2SbPd6 crystal. Source: Alexandria, functional PBE.

a = 7.468 Å, b = 4.585 Å, c = 8.139 Å
α = 90.00°, β = 95.58°, γ = 90.00°
Space group C2/m (No. 12)
Asymmetric unit:
Cu: 0.160 0.000 0.261 x4
Sb: 0.000 0.500 0.500 x2
Pd: 0.003 0.500 0.824 x4
Pd: 0.168 0.000 0.949 x4
Pd: 0.170 0.000 0.606 x4

Theoretical density ... 10.6 g/cm³
Polymorph energy (0 for the lowest one) ... 0 meV/atom
Density of states at the Fermi level ... 0.5932 states/eV/atom
M_tot ... 0.0 Bohr magnetons per cell


No. 16
A relaxed Cu5SbPd8 crystal. Source: Alexandria, functional PBE.

a = 7.478 Å, b = 7.478 Å, c = 7.714 Å
α = 90.00°, β = 90.00°, γ = 90.00°
Space group I-4 (No. 82)
Asymmetric unit:
Cu: 0.000 0.000 0.000 x2
Cu: 0.119 0.789 0.413 x8
Sb: 0.000 0.500 0.750 x2
Pd: 0.067 0.669 0.087 x8
Pd: 0.097 0.827 0.740 x8

Theoretical density ... 9.9 g/cm³
Density of states at the Fermi level ... 0.6138 states/eV/atom
Total DFT energy (no corrections) ... -4.7742 eV/atom
M_tot ... 0.0 Bohr magnetons per cell


No. 17
A relaxed CuSbPd crystal. Source: Alexandria, functional PBE.

a = 3.247 Å, b = 3.247 Å, c = 22.540 Å
α = 90.00°, β = 90.00°, γ = 90.00°
Space group I4/mmm (No. 139)
Asymmetric unit:
Cu: 0.000 0.000 0.223 x4
Sb: 0.000 0.000 0.089 x4
Pd: 0.000 0.000 0.341 x4

Theoretical density ... 8.2 g/cm³
Density of states at the Fermi level ... 0.3226 states/eV/atom
Total DFT energy (no corrections) ... -4.6234 eV/atom
M_tot ... 0.0 Bohr magnetons per cell


No. 18
A relaxed Cu5SbPd4 crystal. Source: Alexandria, functional PBE.

a = 4.600 Å, b = 5.479 Å, c = 6.186 Å
α = 76.45°, β = 74.34°, γ = 76.66°
Space group P-1 (No. 2)
Asymmetric unit:
Cu: 0.000 0.000 0.000 x1
Cu: 0.212 0.290 0.590 x2
Cu: 0.416 0.084 0.203 x2
Sb: 0.000 0.500 0.000 x1
Pd: 0.191 0.803 0.607 x2
Pd: 0.386 0.610 0.202 x2

Theoretical density ... 10.0 g/cm³
Density of states at the Fermi level ... 0.3783 states/eV/atom
Total DFT energy (no corrections) ... -4.7215 eV/atom
M_tot ... 0.0 Bohr magnetons per cell


No. 19
A relaxed Cu23SbPd6 crystal. Source: Alexandria, functional PBE.

a = 11.665 Å, b = 11.665 Å, c = 11.665 Å
α = 90.00°, β = 90.00°, γ = 90.00°
Space group Fm-3m (No. 225)
Asymmetric unit:
Cu: 0.000 0.000 0.000 x4
Cu: 0.000 0.250 0.250 x24
Cu: 0.122 0.122 0.122 x32
Cu: 0.166 0.166 0.334 x32
Sb: 0.000 0.000 0.500 x4
Pd: 0.000 0.000 0.272 x24

Theoretical density ... 9.3 g/cm³
Density of states at the Fermi level ... 0.4351 states/eV/atom
Total DFT energy (no corrections) ... -4.3451 eV/atom
M_tot ... 0.0 Bohr magnetons per cell


No. 20
A relaxed Cu2SbPd5 crystal. Source: Alexandria, functional PBE.

a = 4.099 Å, b = 4.099 Å, c = 14.449 Å
α = 90.00°, β = 90.00°, γ = 90.00°
Space group I4/mmm (No. 139)
Asymmetric unit:
Cu: 0.000 0.000 0.248 x4
Sb: 0.000 0.000 0.500 x2
Pd: 0.000 0.000 0.000 x2
Pd: 0.000 0.500 0.135 x8

Theoretical density ... 10.7 g/cm³
Polymorph energy (0 for the lowest one) ... 0 meV/atom
Density of states at the Fermi level ... 0.3861 states/eV/atom
M_tot ... 0.0 Bohr magnetons per cell


No. 21
A relaxed Cu2SbPd2 crystal. Source: Alexandria, functional PBE.

a = 3.834 Å, b = 3.834 Å, c = 11.510 Å
α = 90.00°, β = 90.00°, γ = 90.00°
Space group I4/mmm (No. 139)
Asymmetric unit:
Cu: 0.000 0.000 0.102 x4
Sb: 0.000 0.000 0.500 x2
Pd: 0.000 0.500 0.250 x4

Theoretical density ... 9.1 g/cm³
Polymorph energy (0 for the lowest one) ... 309 meV/atom
Density of states at the Fermi level ... 0.4563 states/eV/atom
M_tot ... 0.0 Bohr magnetons per cell


No. 22
A relaxed CuSb2Pd2 crystal. Source: Alexandria, functional PBE.

a = 7.302 Å, b = 7.302 Å, c = 3.712 Å
α = 90.00°, β = 90.00°, γ = 90.00°
Space group P4/mbm (No. 127)
Asymmetric unit:
Cu: 0.000 0.000 0.000 x2
Sb: 0.166 0.334 0.000 x4
Pd: 0.136 0.636 0.500 x4

Theoretical density ... 8.7 g/cm³
Polymorph energy (0 for the lowest one) ... 76 meV/atom
Density of states at the Fermi level ... 0.6056 states/eV/atom
M_tot ... 0.0 Bohr magnetons per cell